DFT (PBE-GGA) results for a geometry-optimized TlCuReHg structure.

Calculated values
As for the space-group type: F-43m, No. 216. For the raw total energy, the calculation gives -14.854 eV per cell.

Cell lengths 4.685, 4.685, 4.685 Å; angles 60.00, 60.00, 60.00 degrees
Atoms (fractional coordinates):
Cu 0.750 0.750 0.750
Hg 0.500 0.500 0.500
Re 0.250 0.250 0.250
Tl 0.000 0.000 0.000